Record 1
First-principles (PBE-GGA) data for a relaxed Y2ZnCu2Ni5 crystal, as listed in Alexandria.

Cell: 3.6985 8.9248 8.9248 Å, 90.00 90.00 90.00°
Closest atoms and distances in Å follow each position.
Atoms (fractional coordinates):
1 Cu 0.0000 0.8833 0.3833  6 Ni 2.36-2.50, 1 Y 2.56
2 Cu 0.0000 0.3833 0.1167  6 Ni 2.36-2.50, 1 Y 2.56
3 Cu 0.0000 0.6167 0.8833  6 Ni 2.36-2.50, 1 Y 2.56
4 Cu 0.0000 0.1167 0.6167  6 Ni 2.36-2.50, 1 Y 2.56
5 Y 0.0000 0.8194 0.6806  3 Cu 2.56-2.71
6 Y 0.0000 0.3194 0.8194  3 Cu 2.56-2.71
7 Y 0.0000 0.1806 0.3194  3 Cu 2.56-2.71
8 Y 0.0000 0.6806 0.1806  3 Cu 2.56-2.71
9 Ni 0.5000 0.2958 0.5595  2 Cu 2.50, 2 Zn 2.65, 3 Ni 2.68-2.69
10 Ni 0.5000 0.5595 0.7042  2 Cu 2.50, 2 Zn 2.65, 3 Ni 2.68-2.69
11 Ni 0.5000 0.2042 0.0595  2 Cu 2.50, 2 Zn 2.65, 3 Ni 2.68-2.69
12 Ni 0.5000 0.5000 0.0000  4 Cu 2.36
13 Ni 0.5000 0.4405 0.2958  2 Cu 2.50, 2 Zn 2.65, 3 Ni 2.68-2.69
14 Ni 0.5000 0.9405 0.2042  2 Cu 2.50, 2 Zn 2.65, 3 Ni 2.68-2.69
15 Ni 0.5000 0.7042 0.4405  2 Cu 2.50, 2 Zn 2.65, 3 Ni 2.68-2.69
16 Ni 0.5000 0.0595 0.7958  2 Cu 2.50, 2 Zn 2.65, 3 Ni 2.68-2.69
17 Ni 0.5000 0.0000 0.5000  4 Cu 2.36
18 Ni 0.5000 0.7958 0.9405  2 Cu 2.50, 2 Zn 2.65, 3 Ni 2.68-2.69
19 Zn 0.0000 0.0000 0.0000  8 Ni 2.65
20 Zn 0.0000 0.5000 0.5000  8 Ni 2.65

## Properties
As for the crystal system: tetragonal. For the total energy, the calculation gives -5.36 eV per atom. As for the space group: P4/mbm (127). The value obtained for the formation energy is -0.233 eV per atom.


Record 2
First-principles (PBE-GGA) data for a relaxed CaCu6Ni6 crystal, as listed in Alexandria.

Cell: 4.7609 6.3605 6.3605 Å, 82.23 68.02 68.02°
Closest atoms and distances in Å follow each position.
Atoms (fractional coordinates):
1 Cu 0.2823 0.2177 0.2177  6 Ni 2.42-2.64, 4 Cu 2.64-2.66
2 Cu 0.6461 0.3539 0.3539  3 Cu 2.43-2.64, 6 Ni 2.56
3 Cu 0.0000 0.6489 0.3511  3 Cu 2.49-2.66, 6 Ni 2.54-2.59
4 Cu 0.7177 0.7823 0.7823  6 Ni 2.42-2.64, 4 Cu 2.64-2.66
5 Cu 0.0000 0.3511 0.6489  3 Cu 2.49-2.66, 6 Ni 2.54-2.59
6 Cu 0.3539 0.6461 0.6461  3 Cu 2.43-2.64, 6 Ni 2.56
7 Ni 0.5000 0.2302 0.7698  4 Ni 2.40, 6 Cu 2.56-2.64
8 Ni 0.0000 0.5000 0.0000  4 Ni 2.38-2.40, 6 Cu 2.42-2.56
9 Ni 0.5000 0.0000 0.5000  4 Ni 2.38-2.40, 6 Cu 2.42-2.56
10 Ni 0.0000 0.0000 0.5000  4 Ni 2.38-2.40, 6 Cu 2.42-2.56
11 Ni 0.5000 0.7698 0.2302  4 Ni 2.40, 6 Cu 2.56-2.64
12 Ni 0.5000 0.5000 0.0000  4 Ni 2.38-2.40, 6 Cu 2.42-2.56
13 Ca 0.0000 0.0000 0.0000  8 Cu 2.94-2.99, 12 Ni 3.06-3.18

## Properties
As for the crystal system: orthorhombic. For the total energy, the calculation gives -4.75 eV per atom. As for the space group: Immm (71). The value obtained for the formation energy is -0.041 eV per atom.


Record 3
First-principles (PBE-GGA) data for a relaxed LaCePm2S4 crystal, as listed in Alexandria.

Cell: 4.0525 7.0516 7.0401 Å, 109.39 90.00 90.00°
Closest atoms and distances in Å follow each position.
Atoms (fractional coordinates):
1 S 0.5000 0.2556 0.2554  3 Pm 2.84-2.88, 1 Ce 2.87, 2 La 2.90
2 S 0.0000 0.7471 0.2526  3 Pm 2.84-2.87, 2 Ce 2.87, 1 La 2.91
3 S 0.5000 0.7444 0.7446  3 Pm 2.84-2.88, 1 Ce 2.87, 2 La 2.90
4 S 0.0000 0.2529 0.7474  3 Pm 2.84-2.87, 2 Ce 2.87, 1 La 2.91
5 La 0.0000 0.0000 0.0000  6 S 2.90-2.91
6 Ce 0.5000 0.5000 0.0000  6 S 2.87
7 Pm 0.5000 0.0000 0.5000  6 S 2.87-2.88
8 Pm 0.0000 0.5000 0.5000  6 S 2.84

## Properties
The calculation puts the uncorrected formation energy at -2.072 eV/atom. As for the crystal system: monoclinic. For the total energy, the calculation gives -6.68 eV per atom. As for the space group: P2/m (10).


Record 4
First-principles (PBE-GGA) data for a relaxed SrTm2Zn6 crystal, as listed in Alexandria.

Cell: 3.5212 7.8602 7.8610 Å, 120.00 90.05 90.00°
Closest atoms and distances in Å follow each position.
Atoms (fractional coordinates):
1 Zn 0.4993 0.6604 0.6603  3 Zn 2.52-2.67
2 Zn 0.5000 0.6603 0.0000  3 Zn 2.52-2.67
3 Zn 0.5006 0.3396 0.3397  3 Zn 2.52-2.67
4 Zn 0.4993 0.9999 0.6603  3 Zn 2.52-2.67
5 Zn 0.5000 0.3397 0.0000  3 Zn 2.52-2.67
6 Zn 0.5006 0.0001 0.3397  3 Zn 2.52-2.67
7 Tm 0.0001 0.3334 0.6668  12 Zn 3.13-3.14
8 Tm 0.9999 0.6666 0.3332  12 Zn 3.13-3.14
9 Sr 0.0000 0.0000 0.0000  12 Zn 3.20, 2 Sr 3.52

## Properties
As for the crystal system: hexagonal. For the total energy, the calculation gives -2.31 eV per atom. As for the space group: P6/mmm (191). The value obtained for the formation energy is -0.284 eV per atom.


Record 5
First-principles (PBE-GGA) data for a relaxed TcNiHg2 crystal, as listed in Alexandria.

Cell: 5.5016 5.5016 5.5016 Å, 148.76 127.03 62.79°
Closest atoms and distances in Å follow each position.
Atoms (fractional coordinates):
1 Hg 0.9815 0.9815 0.0000  2 Ni 2.63, 4 Hg 2.89, 2 Tc 2.92
2 Hg 0.5185 0.5185 0.0000  2 Ni 2.63, 4 Hg 2.89, 2 Tc 2.92
3 Tc 0.2500 0.7500 0.5000  4 Ni 2.87, 4 Hg 2.92, 2 Tc 2.96
4 Ni 0.7500 0.2500 0.5000  4 Hg 2.63, 4 Tc 2.87

## Properties
Its energy above the lowest structure with this stoichiometry is 0.3108 eV per atom. As for the crystal system: orthorhombic. For the total energy, the calculation gives -3.55 eV per atom. As for the space group: Immm (71). The value obtained for the formation energy is 0.639 eV per atom.


Record 6
First-principles (PBE-GGA) data for a relaxed Cs4AcNd3Te8 crystal, as listed in Alexandria.

Cell: 9.4765 10.5001 9.4776 Å, 116.85 120.00 90.00°
Closest atoms and distances in Å follow each position.
Atoms (fractional coordinates):
1 Cs 0.5000 0.0000 0.5000  6 Te 3.88
2 Cs 0.5000 0.0000 0.0000  6 Te 3.79
3 Cs 0.0000 0.0000 0.0000  6 Te 3.87-3.88
4 Cs 0.0000 0.0000 0.5000  6 Te 3.88
5 Te 0.2376 0.6975 0.4752  2 Nd 3.22, 1 Ac 3.33
6 Te 0.7624 0.3025 0.0398  2 Nd 3.22-3.23, 1 Ac 3.33
7 Te 0.2775 0.3025 0.0398  2 Nd 3.22-3.23, 1 Ac 3.33
8 Te 0.2687 0.3065 0.5375  3 Nd 3.24
9 Te 0.7313 0.6935 0.4625  3 Nd 3.24
10 Te 0.7225 0.6975 0.9602  2 Nd 3.22-3.23, 1 Ac 3.33
11 Te 0.2376 0.6975 0.9602  2 Nd 3.22-3.23, 1 Ac 3.33
12 Te 0.7624 0.3025 0.5248  2 Nd 3.22, 1 Ac 3.33
13 Nd 0.0000 0.5000 0.5000  6 Te 3.22-3.24
14 Nd 0.5000 0.5000 0.5000  6 Te 3.22-3.24
15 Nd 0.5000 0.5000 0.0000  6 Te 3.22-3.24
16 Ac 0.0000 0.5000 0.0000  6 Te 3.33

## Properties
The calculation puts the uncorrected formation energy at -1.433 eV/atom. As for the crystal system: trigonal. For the total energy, the calculation gives -4.37 eV per atom. As for the space group: R-3m (166).


| no. | spin magnetization (μB per formula unit) |
| --- | --- |
| 1 | 0.00 |
| 2 | 0.00 |
| 3 | 0.83 |
| 4 | 0.00 |
| 5 | 0.89 |
| 6 | 0.00 |